[1]
The following is a DFT calculation (SCAN) of Si3H at its PBEsol-relaxed geometry.

CIF file:
```
data_Si3H
_space_group_name_H-M_alt 'R -3 m'
_space_group_IT_number 166
_space_group_name_Hall '-R 3 2"'
_cell_length_a 3.8333
_cell_length_b 3.8333
_cell_length_c 33.8676
_cell_angle_alpha 90.00
_cell_angle_beta 90.00
_cell_angle_gamma 120.00
loop_
_atom_site_label
_atom_site_type_symbol
_atom_site_fract_x
_atom_site_fract_y
_atom_site_fract_z
Si1 Si 0.0000 0.0000 0.0852
Si2 Si 0.0000 0.0000 0.1550
Si3 Si 0.0000 0.0000 0.2707
H1 H 0.0000 0.0000 0.3152
```

Properties
**Crystal system**: trigonal
**Electronic total energy**: -8.349 eV/atom
**Total magnetization**: 0.000 μB/cell


[2]
The following is a DFT calculation (SCAN) of BeMoBr at its PBEsol-relaxed geometry.

CIF file:
```
data_BeMoBr
_space_group_name_H-M_alt 'P 3 m 1'
_space_group_IT_number 156
_space_group_name_Hall 'P 3 -2"'
_cell_length_a 3.0204
_cell_length_b 3.0204
_cell_length_c 5.8851
_cell_angle_alpha 90.00
_cell_angle_beta 90.00
_cell_angle_gamma 120.00
loop_
_atom_site_label
_atom_site_type_symbol
_atom_site_fract_x
_atom_site_fract_y
_atom_site_fract_z
Be1 Be 0.0000 0.0000 0.0000
Mo1 Mo 0.6667 0.3333 0.3009
Br1 Br 0.3333 0.6667 0.6249
```

Properties
**Crystal system**: trigonal
**Density of states at the Fermi level**: 1.7 states/eV/f.u.
**Total magnetization**: 0.003 μB/cell
**Formation energy without anion corrections**: 0.586 eV/atom